No. 1
Material: CrReAg2
Method: DFT, PBE-GGA
State: optimized geometry

a b c (Å): 5.2055 5.2055 5.2055
angles (deg): 137.76 137.76 61.27
Site moments in Bohr magnetons follow the coordinates.
Fractional coordinates of all 4 atoms:
Cr 0.2500 0.7500 0.5000  2.37
Ag 0.0000 0.0000 0.0000  -0.06
Re 0.7500 0.2500 0.5000  -1.42
Ag 0.5000 0.5000 0.0000  -0.06

Values from the calculation:
symmetry	No. 139
energy above the most stable polymorph in this dataset	0.316	eV/atom

No. 2
Material: CrReAg2
Method: DFT, PBE-GGA
State: optimized geometry

a b c (Å): 4.4854 3.7387 3.7387
angles (deg): 90.00 90.00 90.00
Site moments in Bohr magnetons follow the coordinates.
Fractional coordinates of all 4 atoms:
Re 0.5000 0.0000 0.5000  -1.03
Cr 0.5000 0.5000 0.0000  2.19
Ag 0.0000 0.5000 0.5000  -0.03
Ag 0.0000 0.0000 0.0000  -0.03

Values from the calculation:
symmetry	No. 123
energy above the most stable polymorph in this dataset	0.337	eV/atom

No. 3
Material: Cr3ReAg
Method: DFT, PBE-GGA
State: optimized geometry

a b c (Å): 4.6804 4.6804 4.6804
angles (deg): 90.00 90.00 90.00
Site moments in Bohr magnetons follow the coordinates.
Fractional coordinates of all 5 atoms:
Cr 0.0000 0.0000 0.5000  2.56
Cr 0.0000 0.5000 0.0000  2.86
Re 0.0000 0.0000 0.0000  -0.86
Ag 0.5000 0.5000 0.5000  0.01
Cr 0.5000 0.0000 0.0000  3.34

Values from the calculation:
symmetry	No. 221
energy above the most stable polymorph in this dataset	0.000	eV/atom

No. 4
Material: Cr2ReAg
Method: DFT, PBE-GGA
State: optimized geometry

a b c (Å): 3.0333 3.0333 6.4566
angles (deg): 90.00 90.00 90.00
Site moments in Bohr magnetons follow the coordinates.
Fractional coordinates of all 4 atoms:
Cr 0.0000 0.0000 0.4675  2.01
Re 0.5000 0.5000 0.2500  -0.64
Cr 0.0000 0.0000 0.0325  2.01
Ag 0.5000 0.5000 0.7500  0.09

Values from the calculation:
symmetry	No. 123
energy above the most stable polymorph in this dataset	0.027	eV/atom

No. 5
Material: CrRe2Ag
Method: DFT, PBE-GGA
State: optimized geometry

a b c (Å): 3.8291 3.8300 3.9942
angles (deg): 90.00 90.00 90.00
Site moments in Bohr magnetons follow the coordinates.
Fractional coordinates of all 4 atoms:
Re 0.5000 0.5000 0.0000  -0.16
Re 0.0000 0.0000 0.0000  -0.16
Ag 0.5000 0.0000 0.5000  -0.01
Cr 0.0000 0.5000 0.5000  1.10

Values from the calculation:
symmetry	No. 123
energy above the most stable polymorph in this dataset	0.211	eV/atom

No. 6
Material: CrReAg2
Method: DFT, PBE-GGA
State: optimized geometry

a b c (Å): 9.6172 9.6172 9.6172
angles (deg): 16.76 16.76 16.76
Site moments in Bohr magnetons follow the coordinates.
Fractional coordinates of all 4 atoms:
Cr 0.2500 0.2500 0.2500  3.04
Re 0.7500 0.7500 0.7500  0.22
Ag 0.5014 0.5014 0.5014  0.04
Ag 0.9986 0.9986 0.9986  0.04

Values from the calculation:
symmetry	No. 166
energy above the most stable polymorph in this dataset	0.345	eV/atom